P) # KCd2InAg GGA-PBE optimized geometry
data_KCd2InAg
_chemical_formula_sum 'K1 Cd2 In1 Ag1'
_space_group_name_H-M_alt 'P 1'
_space_group_IT_number 1
_cell_length_a 5.420
_cell_length_b 5.420
_cell_length_c 5.398
_cell_angle_alpha 90.00
_cell_angle_beta 90.00
_cell_angle_gamma 90.00
loop_
_space_group_symop_operation_xyz
'x,y,z'
loop_
_atom_site_label
_atom_site_fract_x
_atom_site_fract_y
_atom_site_fract_z
K1 0.000 0.000 0.000
Cd1 0.000 0.500 0.500
Cd2 0.500 0.000 0.500
In1 0.500 0.500 0.000
Ag1 0.500 0.500 0.500
# SG: P4/mmm (123)
# DOS(E_F), states/eV/f.u.: 2.38

Q) # KCd2InAg GGA-PBE optimized geometry
data_KCd2InAg
_chemical_formula_sum 'K1 Cd2 In1 Ag1'
_space_group_name_H-M_alt 'P 1'
_space_group_IT_number 1
_cell_length_a 7.125
_cell_length_b 7.125
_cell_length_c 7.125
_cell_angle_alpha 141.70
_cell_angle_beta 140.00
_cell_angle_gamma 56.58
loop_
_space_group_symop_operation_xyz
'x,y,z'
loop_
_atom_site_label
_atom_site_fract_x
_atom_site_fract_y
_atom_site_fract_z
K1 0.000 0.000 0.000
Cd1 0.611 0.611 0.000
Cd2 0.762 0.262 0.500
In1 0.255 0.755 0.500
Ag1 0.387 0.387 0.000
# SG: Imm2 (44)
# DOS(E_F), states/eV/f.u.: 2.52

Decreasing stability: Q), P)

P) # KCdInAg GGA-PBE optimized geometry
data_KCdInAg
_chemical_formula_sum 'K1 Cd1 In1 Ag1'
_space_group_name_H-M_alt 'P 1'
_space_group_IT_number 1
_cell_length_a 6.842
_cell_length_b 6.842
_cell_length_c 6.842
_cell_angle_alpha 41.87
_cell_angle_beta 41.87
_cell_angle_gamma 41.87
loop_
_space_group_symop_operation_xyz
'x,y,z'
loop_
_atom_site_label
_atom_site_fract_x
_atom_site_fract_y
_atom_site_fract_z
K1 0.000 0.000 0.000
Cd1 0.527 0.527 0.527
In1 0.803 0.803 0.803
Ag1 0.188 0.188 0.188
# SG: R3m (160)
# DOS(E_F), states/eV/f.u.: 0.94

Q) # KCdInAg GGA-PBE optimized geometry
data_KCdInAg
_chemical_formula_sum 'K1 Cd1 In1 Ag1'
_space_group_name_H-M_alt 'P 1'
_space_group_IT_number 1
_cell_length_a 5.310
_cell_length_b 5.310
_cell_length_c 5.310
_cell_angle_alpha 60.00
_cell_angle_beta 60.00
_cell_angle_gamma 60.00
loop_
_space_group_symop_operation_xyz
'x,y,z'
loop_
_atom_site_label
_atom_site_fract_x
_atom_site_fract_y
_atom_site_fract_z
K1 0.000 0.000 0.000
Cd1 0.750 0.750 0.750
In1 0.500 0.500 0.500
Ag1 0.250 0.250 0.250
# SG: F-43m (216)
# DOS(E_F), states/eV/f.u.: 1.80

Decreasing stability: P), Q)

P) # MgCdInAg GGA-PBE optimized geometry
data_MgCdInAg
_chemical_formula_sum 'Mg1 Cd1 In1 Ag1'
_space_group_name_H-M_alt 'P 1'
_space_group_IT_number 1
_cell_length_a 5.327
_cell_length_b 5.327
_cell_length_c 4.357
_cell_angle_alpha 110.89
_cell_angle_beta 110.89
_cell_angle_gamma 48.20
loop_
_space_group_symop_operation_xyz
'x,y,z'
loop_
_atom_site_label
_atom_site_fract_x
_atom_site_fract_y
_atom_site_fract_z
Mg1 0.000 0.000 0.000
Cd1 0.250 0.250 0.752
In1 0.750 0.750 0.255
Ag1 0.501 0.501 0.505
# SG: Cm (8)
# DOS(E_F), states/eV/f.u.: 1.33

Q) # MgCdInAg GGA-PBE optimized geometry
data_MgCdInAg
_chemical_formula_sum 'Mg1 Cd1 In1 Ag1'
_space_group_name_H-M_alt 'P 1'
_space_group_IT_number 1
_cell_length_a 4.931
_cell_length_b 4.931
_cell_length_c 4.931
_cell_angle_alpha 60.00
_cell_angle_beta 60.00
_cell_angle_gamma 60.00
loop_
_space_group_symop_operation_xyz
'x,y,z'
loop_
_atom_site_label
_atom_site_fract_x
_atom_site_fract_y
_atom_site_fract_z
Mg1 0.000 0.000 0.000
Cd1 0.250 0.250 0.250
In1 0.500 0.500 0.500
Ag1 0.750 0.750 0.750
# SG: F-43m (216)
# DOS(E_F), states/eV/f.u.: 1.23

Decreasing stability: P), Q)

P) # RbCd2InAg GGA-PBE optimized geometry
data_RbCd2InAg
_chemical_formula_sum 'Rb1 Cd2 In1 Ag1'
_space_group_name_H-M_alt 'P 1'
_space_group_IT_number 1
_cell_length_a 5.482
_cell_length_b 5.482
_cell_length_c 5.445
_cell_angle_alpha 90.00
_cell_angle_beta 90.00
_cell_angle_gamma 90.00
loop_
_space_group_symop_operation_xyz
'x,y,z'
loop_
_atom_site_label
_atom_site_fract_x
_atom_site_fract_y
_atom_site_fract_z
Rb1 0.000 0.000 0.000
Cd1 0.000 0.500 0.500
Cd2 0.500 0.000 0.500
In1 0.500 0.500 0.000
Ag1 0.500 0.500 0.500
# SG: P4/mmm (123)
# DOS(E_F), states/eV/f.u.: 2.76

Q) # RbCd2InAg GGA-PBE optimized geometry
data_RbCd2InAg
_chemical_formula_sum 'Rb1 Cd2 In1 Ag1'
_space_group_name_H-M_alt 'P 1'
_space_group_IT_number 1
_cell_length_a 5.710
_cell_length_b 5.710
_cell_length_c 5.467
_cell_angle_alpha 90.00
_cell_angle_beta 90.00
_cell_angle_gamma 90.00
loop_
_space_group_symop_operation_xyz
'x,y,z'
loop_
_atom_site_label
_atom_site_fract_x
_atom_site_fract_y
_atom_site_fract_z
Rb1 0.000 0.000 0.000
Cd1 0.000 0.500 0.500
Cd2 0.500 0.000 0.500
In1 0.500 0.500 0.500
Ag1 0.500 0.500 0.000
# SG: P4/mmm (123)
# DOS(E_F), states/eV/f.u.: 1.70

R) # RbCd2InAg GGA-PBE optimized geometry
data_RbCd2InAg
_chemical_formula_sum 'Rb1 Cd2 In1 Ag1'
_space_group_name_H-M_alt 'P 1'
_space_group_IT_number 1
_cell_length_a 7.130
_cell_length_b 7.130
_cell_length_c 7.130
_cell_angle_alpha 140.31
_cell_angle_beta 139.22
_cell_angle_gamma 58.22
loop_
_space_group_symop_operation_xyz
'x,y,z'
loop_
_atom_site_label
_atom_site_fract_x
_atom_site_fract_y
_atom_site_fract_z
Rb1 0.000 0.000 0.000
Cd1 0.611 0.611 0.000
Cd2 0.758 0.258 0.500
In1 0.255 0.755 0.500
Ag1 0.381 0.381 0.000
# SG: Imm2 (44)
# DOS(E_F), states/eV/f.u.: 2.92

Decreasing stability: R), P), Q)

P) # Cd2InAgS4 GGA-PBE optimized geometry
data_Cd2InAgS4
_chemical_formula_sum 'Cd2 In1 Ag1 S4'
_space_group_name_H-M_alt 'P 1'
_space_group_IT_number 1
_cell_length_a 7.918
_cell_length_b 7.918
_cell_length_c 7.255
_cell_angle_alpha 116.17
_cell_angle_beta 116.17
_cell_angle_gamma 30.51
loop_
_space_group_symop_operation_xyz
'x,y,z'
loop_
_atom_site_label
_atom_site_fract_x
_atom_site_fract_y
_atom_site_fract_z
Cd1 0.000 0.000 0.000
Cd2 0.507 0.507 0.525
In1 0.256 0.256 0.577
Ag1 0.751 0.751 0.101
S1 0.070 0.070 0.404
S2 0.320 0.320 0.321
S3 0.564 0.564 0.909
S4 0.807 0.807 0.807
# SG: Cm (8)
# DOS(E_F), states/eV/f.u.: 0.69

Q) # Cd2InAgS4 GGA-PBE optimized geometry
data_Cd2InAgS4
_chemical_formula_sum 'Cd2 In1 Ag1 S4'
_space_group_name_H-M_alt 'P 1'
_space_group_IT_number 1
_cell_length_a 7.173
_cell_length_b 7.173
_cell_length_c 7.173
_cell_angle_alpha 131.12
_cell_angle_beta 131.12
_cell_angle_gamma 71.62
loop_
_space_group_symop_operation_xyz
'x,y,z'
loop_
_atom_site_label
_atom_site_fract_x
_atom_site_fract_y
_atom_site_fract_z
Cd1 0.250 0.750 0.500
Cd2 0.750 0.250 0.500
In1 0.000 0.000 0.000
Ag1 0.500 0.500 0.000
S1 0.122 0.122 0.489
S2 0.367 0.878 0.000
S3 0.633 0.633 0.511
S4 0.878 0.367 0.000
# SG: I-42m (121)

Decreasing stability: Q), P)